No. 1
This record from Alexandria describes a relaxed Pr4In12Co crystal. The functional is PBE.

Structure (POSCAR):
```
Pr4In12Co
1.0
7.7581 0.0000 -2.7429
-3.8790 6.7187 -2.7429
0.0000 0.0000 8.2287
Pr In Co
4 12 1
Cartesian
-1.9395 3.3594 -1.3715 Pr
1.9395 3.3594 1.3715 Pr
0.0000 0.0000 4.1144 Pr
3.8790 0.0000 -1.3715 Pr
-2.8210 4.8862 3.9896 In
1.0580 1.8325 -1.4963 In
0.0000 3.3594 4.1144 In
0.9698 5.0390 -1.3715 In
4.8488 1.6797 1.3715 In
2.1160 0.0000 1.4963 In
2.8210 4.8862 -3.9896 In
-0.9698 5.0390 1.3715 In
5.6421 0.0000 3.9896 In
-1.0580 1.8325 1.4963 In
3.8790 3.3594 -1.3715 In
2.9093 1.6797 4.1144 In
0.0000 0.0000 0.0000 Co
```

Values from the calculation:
Mass density, g/cm3: 7.74
DOS(E_F), states/eV per atom: 0.503
DFT formation energy, eV/atom: -0.42
Volume, Å³ per cell: 428.92

=====

No. 2
This record from Alexandria describes a relaxed ErH2Pd8 crystal. The functional is PBE.

Structure (POSCAR):
```
ErH2Pd8
1.0
-3.0812 -1.3199 -3.0529
-3.9458 -3.1902 3.7451
-4.8105 3.7424 1.6205
Pd Er H
8 1 2
Cartesian
-6.5849 -2.3888 2.8184 Pd
-4.6623 -0.1281 1.4794 Pd
-5.2525 1.6211 -0.5057 Pd
-7.1752 -0.6396 0.8333 Pd
-5.0557 -0.9855 -1.1580 Pd
-7.1316 1.9938 1.4754 Pd
-6.7818 0.2178 3.4707 Pd
-4.7059 -2.7615 0.8373 Pd
0.0000 0.0000 0.0000 Er
-8.7273 -0.5516 1.7520 H
-3.1102 -0.2161 0.5607 H
```

Values from the calculation:
Mass density, g/cm3: 10.19
DOS(E_F), states/eV per atom: 0.655
Volume, Å³ per cell: 166.38
VASP energy, Ry/atom: -0.3680